Computed, not measured: an optimized crystal structure of La2Ho2Zn at the PBE level of DFT.

Computed properties:
As for the total DFT energy (no corrections): -4.179 eV per atom. The total magnetic moment is 0.01 μB/cell. For the density of states at the Fermi level, the calculation gives 6.819 states/eV/f.u.

a b c (Å): 3.616 3.616 11.734
angles (deg): 98.86 98.86 90.00
Positions (direct):
La (0.190, 0.190, 0.381)
Ho (0.425, 0.425, 0.850)
Zn (0.000, 0.000, 0.000)
La (0.810, 0.810, 0.619)
Ho (0.575, 0.575, 0.150)

***

Computed, not measured: an optimized crystal structure of Pm12CoNi6 at the PBE level of DFT.

Computed properties:
As for the total DFT energy (no corrections): -5.323 eV per atom. The total magnetic moment is 0.00 μB/cell. For the density of states at the Fermi level, the calculation gives 20.052 states/eV/f.u.

a b c (Å): 8.116 8.116 8.116
angles (deg): 97.94 97.94 97.94
Positions (direct):
Pm (0.682, 0.916, 0.046)
Pm (0.420, 0.818, 0.587)
Ni (0.386, 0.690, 0.871)
Pm (0.084, 0.954, 0.318)
Pm (0.046, 0.682, 0.916)
Ni (0.310, 0.129, 0.614)
Pm (0.182, 0.413, 0.580)
Ni (0.614, 0.310, 0.129)
Co (0.000, 0.000, 0.000)
Pm (0.587, 0.420, 0.818)
Pm (0.916, 0.046, 0.682)
Pm (0.580, 0.182, 0.413)
Pm (0.818, 0.587, 0.420)
Ni (0.129, 0.614, 0.310)
Pm (0.318, 0.084, 0.954)
Pm (0.954, 0.318, 0.084)
Ni (0.690, 0.871, 0.386)
Ni (0.871, 0.386, 0.690)
Pm (0.413, 0.580, 0.182)

***

Computed, not measured: an optimized crystal structure of AgSbPd3 at the PBE level of DFT.

Computed properties:
The value obtained for the energy relative to the elements, uncorrected is 412 meV per atom. The calculation puts the relative energy among the computed polymorphs at 695 meV/atom. The total magnetic moment is 0.00 μB/cell. For the density of states at the Fermi level, the calculation gives 2.436 states/eV/f.u.

a b c (Å): 4.921 4.921 4.921
angles (deg): 90.00 90.00 90.00
Positions (direct):
Sb (0.000, 0.000, 0.000)
Ag (0.500, 0.500, 0.500)
Pd (0.000, 0.000, 0.500)
Pd (0.500, 0.000, 0.000)
Pd (0.000, 0.500, 0.000)

***

Computed, not measured: an optimized crystal structure of Li2GePd at the PBE level of DFT.

Computed properties:
As for the total DFT energy (no corrections): -3.818 eV per atom. The total magnetic moment is 0.00 μB/cell. For the density of states at the Fermi level, the calculation gives 0.798 states/eV/f.u.

a b c (Å): 3.286 3.286 5.291
angles (deg): 90.00 90.00 90.00
Positions (direct):
Pd (0.500, 0.500, 0.500)
Ge (0.500, 0.500, 0.000)
Li (0.000, 0.000, 0.259)
Li (0.000, 0.000, 0.741)

***

Computed, not measured: an optimized crystal structure of AgPd6Au5 at the PBE level of DFT.

Computed properties:
The calculation puts the relative energy among the computed polymorphs at 0 meV/atom. The total magnetic moment is 0.00 μB/cell. For the density of states at the Fermi level, the calculation gives 10.842 states/eV/f.u.

a b c (Å): 4.933 5.762 7.016
angles (deg): 90.00 90.57 90.00
Positions (direct):
Ag (0.000, 0.000, 0.000)
Au (0.667, 0.500, 0.332)
Pd (0.832, 0.750, 0.666)
Pd (0.500, 0.750, 0.000)
Pd (0.168, 0.250, 0.334)
Pd (0.500, 0.250, 0.000)
Au (0.000, 0.500, 0.000)
Pd (0.168, 0.750, 0.334)
Au (0.333, 0.500, 0.668)
Pd (0.832, 0.250, 0.666)
Au (0.333, 0.000, 0.668)
Au (0.667, 0.000, 0.332)

***

Computed, not measured: an optimized crystal structure of ScBePO2 at the PBE level of DFT.

Computed properties:
The value obtained for the energy relative to the elements, uncorrected is -994 meV per atom. The calculation puts the relative energy among the computed polymorphs at 0 meV/atom. The total magnetic moment is 0.10 μB/cell. For the density of states at the Fermi level, the calculation gives 2.865 states/eV/f.u.

a b c (Å): 3.587 3.587 4.515
angles (deg): 90.00 90.00 90.00
Positions (direct):
O (0.500, 0.000, 0.000)
O (0.000, 0.500, 0.000)
Sc (0.500, 0.500, 0.500)
P (0.000, 0.000, 0.500)
Be (0.000, 0.000, 0.000)

***

Computed, not measured: an optimized crystal structure of ZnPtN2 at the PBE level of DFT.

Computed properties:
The value obtained for the energy relative to the elements, uncorrected is 848 meV per atom. The total magnetic moment is 0.00 μB/cell. For the density of states at the Fermi level, the calculation gives 2.462 states/eV/f.u.

a b c (Å): 6.402 6.402 6.402
angles (deg): 27.01 27.01 27.01
Positions (direct):
Pt (0.000, 0.000, 0.000)
Zn (0.500, 0.500, 0.500)
N (0.103, 0.103, 0.103)
N (0.897, 0.897, 0.897)

***

Look up the total magnetic moment of the fourth one.
0.00 μB/cell